The following is a GGA-PBE calculation of an optimized crystal structure of La2PmSm5Mg, from Alexandria via LeMat-Bulk.

It has space group Cmc2_1 (No. 36), with a = 5.616 Å, b = 20.320 Å, c = 10.766 Å, α = 90.00°, β = 90.00° and γ = 90.00°. Symmetry generates all atoms from La at (0.000, 0.116, 0.000), La at (0.000, 0.116, 0.416), Pm at (0.000, 0.202, 0.708), Sm at (0.000, 0.014, 0.708), Sm at (0.000, 0.288, 0.011), Sm at (0.000, 0.288, 0.406), Sm at (0.000, 0.383, 0.708), Sm at (0.000, 0.500, 0.459) and Mg at (0.000, 0.405, 0.209).

The calculation puts the energy of formation at 8.3 kJ per mole of atoms.


The following is a GGA-PBE calculation of an optimized crystal structure of LiAsRuPt, from Alexandria via LeMat-Bulk.

It has space group F-43m (No. 216), with a = 6.007 Å, b = 6.007 Å, c = 6.007 Å, α = 90.00°, β = 90.00° and γ = 90.00°. Symmetry generates all atoms from Li at (0.000, 0.000, 0.000), As at (0.000, 0.000, 0.500), Ru at (0.250, 0.250, 0.250) and Pt at (0.250, 0.250, 0.750).

The calculation puts the energy of formation at -30.5 kJ per mole of atoms.


The following is a GGA-PBE calculation of an optimized crystal structure of TaTePtI2, from Alexandria via LeMat-Bulk.

It has space group P4/mmm (No. 123), with a = 5.393 Å, b = 5.393 Å, c = 5.449 Å, α = 90.00°, β = 90.00° and γ = 90.00°. Symmetry generates all atoms from Ta at (0.000, 0.000, 0.000), Te at (0.000, 0.000, 0.500), Pt at (0.500, 0.500, 0.500) and I at (0.000, 0.500, 0.000).

Its uncorrected energy is -3.9375 eV per atom.


The following is a GGA-PBE calculation of an optimized crystal structure of ScSiAs, from Alexandria via LeMat-Bulk.

It has space group R-3m (No. 166, hexagonal axes), with a = 3.9982 Å, b = 3.9982 Å, c = 24.7045 Å, α = 90.00°, β = 90.00° and γ = 120.00°. Symmetry generates all atoms from Sc at (0.0000, 0.0000, 0.0720), Si at (0.0000, 0.0000, 0.3374) and As at (0.0000, 0.0000, 0.1967).

Its uncorrected energy is -5.8692 eV per atom.